Entry 1:
# Ba2NdIn3Hg12 (PBE, optimized geometry)
data_Ba2NdIn3Hg12
_chemical_formula_sum 'Ba6 Nd3 In9 Hg36'
_cell_length_a 7.0306
_cell_length_b 7.0306
_cell_length_c 39.3791
_cell_angle_alpha 90.00
_cell_angle_beta 90.00
_cell_angle_gamma 120.00
_space_group_name_H-M_alt 'R -3 m'
_space_group_IT_number 166
_space_group_name_Hall '-R 3 2"'
loop_
_atom_site_label
_atom_site_type_symbol
_atom_site_fract_x
_atom_site_fract_y
_atom_site_fract_z
_atom_site_occupancy
Ba1 Ba 0.0000 0.0000 0.1378 1
Nd1 Nd 0.0000 0.0000 0.5000 1
In1 In 0.0000 0.5000 0.0000 1
Hg1 Hg 0.0173 0.5087 0.8899 1
Hg2 Hg 0.0387 0.5193 0.6129 1
# **Spin magnetization**: 0.0 Bohr magnetons per cell
# **VASP energy**: -70.1 eV for the cell shown

=====

Entry 2:
# BaInNiHg2 (PBE, optimized geometry)
data_BaInNiHg2
_chemical_formula_sum 'Ba1 In1 Ni1 Hg2'
_cell_length_a 5.202
_cell_length_b 5.202
_cell_length_c 5.015
_cell_angle_alpha 90.00
_cell_angle_beta 90.00
_cell_angle_gamma 90.00
_space_group_name_H-M_alt 'P 4/m m m'
_space_group_IT_number 123
_space_group_name_Hall '-P 4 2'
loop_
_atom_site_label
_atom_site_type_symbol
_atom_site_fract_x
_atom_site_fract_y
_atom_site_fract_z
_atom_site_occupancy
Ba1 Ba 0.000 0.000 0.000 1
In1 In 0.500 0.500 0.000 1
Ni1 Ni 0.500 0.500 0.500 1
Hg1 Hg 0.000 0.500 0.500 1
# **Spin magnetization**: 0.0 Bohr magnetons per cell
# **VASP energy**: -12.4 eV for the cell shown